# GGA-PBE LaPOsS2, optimized geometry
data_LaPOsS2
_cell_length_a 5.3277
_cell_length_b 5.3277
_cell_length_c 5.7432
_cell_angle_alpha 90.00
_cell_angle_beta 90.00
_cell_angle_gamma 90.00
_symmetry_space_group_name_H-M 'P 4/m m m'
_symmetry_Int_Tables_number 123
_symmetry_space_group_name_Hall '-P 4 2'
loop_
_atom_site_label
_atom_site_fract_x
_atom_site_fract_y
_atom_site_fract_z
La1 0.0000 0.0000 0.0000
P1 0.0000 0.0000 0.5000
Os1 0.5000 0.5000 0.5000
S1 0.0000 0.5000 0.0000
# - relative energy among the computed polymorphs (meV per atom) = 1895
# - raw formation energy (eV/atom) = 1.361
# - total energy (eV per atom) = -4.604

***

# GGA-PBE BeIBr2, optimized geometry
data_BeIBr2
_cell_length_a 7.4570
_cell_length_b 7.4570
_cell_length_c 7.4570
_cell_angle_alpha 90.00
_cell_angle_beta 90.00
_cell_angle_gamma 90.00
_symmetry_space_group_name_H-M 'F m -3 m'
_symmetry_Int_Tables_number 225
_symmetry_space_group_name_Hall '-F 4 2 3'
loop_
_atom_site_label
_atom_site_fract_x
_atom_site_fract_y
_atom_site_fract_z
Be1 0.0000 0.0000 0.0000
I1 0.0000 0.0000 0.5000
Br1 0.2500 0.2500 0.2500
# - relative energy among the computed polymorphs (meV per atom) = 1294
# - raw formation energy (eV/atom) = 0.824
# - total energy (eV per atom) = -1.332

***

Q: Among the records above, which one has the highest total energy?
A: BeIBr2

***

What did the second record say?
# GGA-PBE BeIBr2, optimized geometry
data_BeIBr2
_cell_length_a 7.4570
_cell_length_b 7.4570
_cell_length_c 7.4570
_cell_angle_alpha 90.00
_cell_angle_beta 90.00
_cell_angle_gamma 90.00
_symmetry_space_group_name_H-M 'F m -3 m'
_symmetry_Int_Tables_number 225
_symmetry_space_group_name_Hall '-F 4 2 3'
loop_
_atom_site_label
_atom_site_fract_x
_atom_site_fract_y
_atom_site_fract_z
Be1 0.0000 0.0000 0.0000
I1 0.0000 0.0000 0.5000
Br1 0.2500 0.2500 0.2500
# - relative energy among the computed polymorphs (meV per atom) = 1294
# - raw formation energy (eV/atom) = 0.824
# - total energy (eV per atom) = -1.332